DFT (PBE) results for Mg2Zn3Cu7 after structural relaxation.

POSCAR file:
```
Mg2Zn3Cu7
1.0
8.624 -0.090 -0.055
7.198 4.751 -0.055
7.198 2.120 4.252
Zn Mg Cu
3 2 7
Direct
0.000 0.000 0.000 Zn
0.143 0.143 0.143 Zn
0.857 0.857 0.857 Zn
0.665 0.665 0.665 Mg
0.335 0.335 0.335 Mg
0.595 0.083 0.595 Cu
0.405 0.405 0.917 Cu
0.500 0.500 0.500 Cu
0.083 0.595 0.595 Cu
0.595 0.595 0.083 Cu
0.405 0.917 0.405 Cu
0.917 0.405 0.405 Cu
```

Computed properties:
final energy = -2.8872 eV per atom
total magnetization = 0.00 μB/f.u.
ΔH_f (0 K) = 0.086 eV/atom